A plane-wave DFT calculation with PBE-GGA was carried out for an optimized crystal structure of Al3TlIn.

Symmetry = Pm-3m (221)
ΔE to the lowest computed polymorph = 0.000 eV per atom
Crystal system = cubic

Lattice parameters (Å, degrees): 5.299 5.299 5.299 90.00 90.00 90.00
Atoms (fractional coordinates):
1 Al 0.000 0.000 0.500
2 Al 0.000 0.500 0.000
3 Al 0.500 0.000 0.000
4 Tl 0.500 0.500 0.500
5 In 0.000 0.000 0.000